No. 1
DFT (PBE) results for Y2CuBiAs after structural relaxation.

- Formation energy from the elements: -17 kJ/mol of formula units
- V: 138.8 Å³ per cell
- Space group: No. 123
- Uncorrected energy: -5.147 eV/atom

abc: 5.375 5.375 4.806
angles: 90.00 90.00 90.00
Fractional coordinates of all 5 atoms:
Y: 0.000 0.500 0.000
Y: 0.500 0.000 0.000
Cu: 0.000 0.000 0.000
Bi: 0.000 0.000 0.500
As: 0.500 0.500 0.500

No. 2
DFT (PBE) results for Zr2CuBiAs after structural relaxation.

- Formation energy from the elements: -37 kJ/mol of formula units
- V: 116.8 Å³ per cell
- Space group: No. 123
- Uncorrected energy: -6.021 eV/atom

abc: 5.159 5.159 4.390
angles: 90.00 90.00 90.00
Fractional coordinates of all 5 atoms:
Zr: 0.000 0.500 0.000
Zr: 0.500 0.000 0.000
Cu: 0.000 0.000 0.500
Bi: 0.500 0.500 0.500
As: 0.000 0.000 0.000

No. 3
DFT (PBE) results for Dy4BiAs2 after structural relaxation.

- Formation energy from the elements: -752 kJ/mol of formula units
- V: 390.0 Å³ per cell
- Space group: No. 63
- Uncorrected energy: -5.626 eV/atom

abc: 7.059 7.059 13.784
angles: 90.00 90.00 145.41
Fractional coordinates of all 14 atoms:
Dy: 0.000 0.000 0.000
Dy: 0.000 0.000 0.500
Dy: 0.264 0.736 0.619
Dy: 0.264 0.736 0.881
Dy: 0.436 0.564 0.250
Dy: 0.564 0.436 0.750
Dy: 0.736 0.264 0.119
Dy: 0.736 0.264 0.381
Bi: 0.107 0.893 0.250
Bi: 0.893 0.107 0.750
As: 0.366 0.634 0.058
As: 0.366 0.634 0.442
As: 0.634 0.366 0.558
As: 0.634 0.366 0.942

Q: What is the formation energy from the elements in the second record?
A: -37 kJ/mol of formula units

Q: Which formula does entry 3 have?
A: Dy4BiAs2

Q: Look up the uncorrected energy of the second one.
A: -6.021 eV/atom

Q: The highest uncorrected energy belongs to which entry?
A: Y2CuBiAs